# 1
La2HfRhF | Alexandria | PBE | optimized geometry; VASP energy = -6.2275 eV per atom; formation energy without anion corrections = -0.42 eV per atom; space group = P4/mmm
1.0
5.7938 0.0000 0.0000
0.0000 5.7938 0.0000
0.0000 0.0000 4.8608
La Hf Rh F
2 1 1 1
Cartesian
0.0000 2.8969 0.0000 La
2.8969 0.0000 0.0000 La
0.0000 0.0000 2.4304 Hf
0.0000 0.0000 0.0000 Rh
2.8969 2.8969 2.4304 F

# 2
LaHfSc2F | Alexandria | PBE | optimized geometry; VASP energy = -6.0587 eV per atom; formation energy without anion corrections = -0.18 eV per atom; space group = P4/mmm
1.0
5.9674 0.0000 0.0000
0.0000 5.9674 0.0000
0.0000 0.0000 4.0042
La Hf Sc F
1 1 2 1
Cartesian
0.0000 0.0000 0.0000 La
2.9837 2.9837 2.0021 Hf
0.0000 2.9837 2.0021 Sc
2.9837 0.0000 2.0021 Sc
2.9837 2.9837 0.0000 F

# 3
LaHfTi2F | Alexandria | PBE | optimized geometry; VASP energy = -6.8293 eV per atom; formation energy without anion corrections = -0.32 eV per atom; space group = P4/mmm
1.0
4.5466 0.0000 0.0000
0.0000 4.5466 0.0000
0.0000 0.0000 4.7164
La Hf Ti F
1 1 2 1
Cartesian
0.0000 0.0000 0.0000 La
2.2733 2.2733 0.0000 Hf
0.0000 2.2733 2.3582 Ti
2.2733 0.0000 2.3582 Ti
2.2733 2.2733 2.3582 F